Entry 1:
Computed, not measured: a geometry-optimized K2CrFe structure at the PBE-GGA level of DFT.

The structure in CIF format:
```
data_K2CrFe
_chemical_formula_sum 'K2 Cr1 Fe1'
_space_group_name_H-M_alt 'P 1'
_space_group_IT_number 1
_space_group_name_Hall 'P 1'
_cell_length_a 3.3301
_cell_length_b 3.3301
_cell_length_c 11.0011
_cell_angle_alpha 90.00
_cell_angle_beta 90.00
_cell_angle_gamma 90.00
loop_
_atom_site_label
_atom_site_fract_x
_atom_site_fract_y
_atom_site_fract_z
K1 0.0000 0.0000 0.2362
K2 0.0000 0.0000 0.7638
Cr1 0.5000 0.5000 0.5000
Fe1 0.5000 0.5000 0.0000
```

Computed properties:
* spin magnetization: 1.95 Bohr magnetons per cell
* ΔH_f (0 K): 1.34 eV/atom
* space group: P4/mmm, No. 123
* distance to the lowest polymorph of the same formula: 544 meV per atom



Entry 2:
Computed, not measured: a geometry-optimized Tb2Dy2YEr structure at the PBE-GGA level of DFT.

The structure in CIF format:
```
data_Tb2Dy2YEr
_chemical_formula_sum 'Tb4 Dy4 Y2 Er2'
_space_group_name_H-M_alt 'P 1'
_space_group_IT_number 1
_space_group_name_Hall 'P 1'
_cell_length_a 6.9955
_cell_length_b 5.6010
_cell_length_c 9.6605
_cell_angle_alpha 90.00
_cell_angle_beta 90.00
_cell_angle_gamma 90.00
loop_
_atom_site_label
_atom_site_fract_x
_atom_site_fract_y
_atom_site_fract_z
Tb1 0.2500 0.0000 0.1591
Tb2 0.2500 0.5000 0.6739
Tb3 0.7500 0.0000 0.8409
Tb4 0.7500 0.5000 0.3261
Dy1 0.0000 0.5000 0.0000
Dy2 0.2500 0.0000 0.8260
Dy3 0.5000 0.5000 0.0000
Dy4 0.7500 0.0000 0.1740
Y1 0.0000 0.0000 0.5000
Y2 0.5000 0.0000 0.5000
Er1 0.2500 0.5000 0.3395
Er2 0.7500 0.5000 0.6605
```

Computed properties:
* spin magnetization: 0.00 Bohr magnetons per cell
* ΔH_f (0 K): 0.07 eV/atom
* space group: Pmma, No. 51



Entry 3:
Computed, not measured: a geometry-optimized AcTbHo2 structure at the PBE-GGA level of DFT.

The structure in CIF format:
```
data_AcTbHo2
_chemical_formula_sum 'Ac1 Tb1 Ho2'
_space_group_name_H-M_alt 'P 1'
_space_group_IT_number 1
_space_group_name_Hall 'P 1'
_cell_length_a 5.1749
_cell_length_b 5.1749
_cell_length_c 5.1239
_cell_angle_alpha 90.00
_cell_angle_beta 90.00
_cell_angle_gamma 90.00
loop_
_atom_site_label
_atom_site_fract_x
_atom_site_fract_y
_atom_site_fract_z
Ac1 0.0000 0.0000 0.0000
Tb1 0.5000 0.5000 0.0000
Ho1 0.0000 0.5000 0.5000
Ho2 0.5000 0.0000 0.5000
```

Computed properties:
* spin magnetization: 0.00 Bohr magnetons per cell
* ΔH_f (0 K): 0.06 eV/atom
* space group: P4/mmm, No. 123
* distance to the lowest polymorph of the same formula: 12 meV per atom



no.,DFT total energy (eV per atom)
1,-3.7341
2,-4.8482
3,-4.4130